Computed, not measured: a geometry-optimized LaPdC2Br structure at the GGA-PBE level of DFT.

abc: 4.479 4.614 4.479
angles: 90.00 90.00 90.00
Element x y z (fractional)
C (0.000, 0.000, 0.500)
C (0.500, 0.000, 0.000)
Br (0.000, 0.000, 0.000)
Pd (0.000, 0.500, 0.000)
La (0.500, 0.500, 0.500)

Computed properties:
- uncorrected formation energy (meV/atom) = 1758
- Fermi-level density of states (states/eV per atom) = 0.6321
- volume (Å³ per cell) = 92.6
- total DFT energy (no corrections) (eV per atom) = -4.29
- magnetic moment (μB/f.u.) = 0.000